Crystalline TiS2BrN at its relaxed geometry, computed with PBE.

abc: 5.073 5.073 4.775
angles: 90.00 90.00 90.00
Fractional positions:
Ti 0.000 0.000 0.000
S 0.000 0.500 0.500
S 0.500 0.000 0.500
Br 0.000 0.000 0.500
N 0.500 0.500 0.000

Summary:
formation energy from raw total energies: 1872.8 meV/atom
space group: P4/mmm
energy relative to the lowest polymorph listed for this composition: 1635 meV/atom
V: 122.9 Å³ per cell
uncorrected energy: -16.8 eV for the cell shown